TiMnZn2 | PBE | optimized geometry

Results
Density = 6.20 g/cm3
E_form = 0.3016 eV/atom
Energy above the lowest structure with this stoichiometry = 37.3 kJ/mol of atoms
Crystal system = tetragonal
DFT total energy = -4.60 eV per atom

Unit cell a=3.613 b=3.613 c=9.928 alpha=79.52 beta=79.52 gamma=90.00
Site moments in Bohr magnetons follow the coordinates.
Element x y z (fractional)
Mn 0.000 0.000 0.000  2.45
Zn 0.116 0.625 0.250  -0.03
Zn 0.375 0.366 0.750  -0.03
Mn 0.750 0.250 0.500  2.45
Ti 0.500 0.500 0.000  -0.99
Zn 0.875 0.884 0.750  -0.03
Zn 0.634 0.125 0.250  -0.03
Ti 0.250 0.750 0.500  -0.99


AlCuGe | PBE | optimized geometry

Results
Density = 5.56 g/cm3
E_form = 0.0462 eV/atom
Crystal system = triclinic
DFT total energy = -4.11 eV per atom

Unit cell a=3.849 b=4.626 c=6.314 alpha=86.17 beta=107.76 gamma=114.22
Element x y z (fractional)
Ge 0.982 0.447 0.723
Al 0.896 0.933 0.059
Cu 0.247 0.268 0.431
Cu 0.316 0.034 0.801
Ge 0.667 0.363 0.178
Al 0.578 0.859 0.500


Nd3DyO6 | PBE | optimized geometry

Results
Density = 6.79 g/cm3
Crystal system = trigonal
DFT total energy = -8.28 eV per atom

Unit cell a=6.969 b=6.969 c=6.969 alpha=91.80 beta=91.80 gamma=91.80
Element x y z (fractional)
Nd 0.252 0.557 0.063
Nd 0.557 0.063 0.252
Dy 0.000 0.000 0.000
O 0.533 0.402 0.189
O 0.811 0.467 0.598
O 0.598 0.811 0.467
Nd 0.063 0.252 0.557
Dy 0.500 0.500 0.500
O 0.189 0.533 0.402
O 0.310 0.909 0.067
O 0.091 0.933 0.690
O 0.909 0.067 0.310
Nd 0.937 0.748 0.443
Nd 0.443 0.937 0.748
O 0.402 0.189 0.533
O 0.067 0.310 0.909
O 0.467 0.598 0.811
O 0.690 0.091 0.933
O 0.933 0.690 0.091
Nd 0.748 0.443 0.937


La5Pb4 | PBE | optimized geometry

Results
Density = 8.40 g/cm3
E_form = -0.5936 eV/atom
Energy above the lowest structure with this stoichiometry = 3.6 kJ/mol of atoms
Crystal system = hexagonal
DFT total energy = -4.98 eV per atom

Unit cell a=10.023 b=10.023 c=6.926 alpha=90.00 beta=90.00 gamma=120.00
Element x y z (fractional)
La 0.000 0.272 0.750
La 0.272 0.000 0.750
La 0.272 0.272 0.250
Pb 0.000 0.382 0.250
Pb 0.000 0.618 0.750
La 0.333 0.667 0.000
Pb 0.000 0.000 0.000
La 0.667 0.333 0.500
Pb 0.382 0.382 0.750
La 0.667 0.333 0.000
Pb 0.618 0.000 0.750
Pb 0.618 0.618 0.250
Pb 0.382 0.000 0.250
La 0.728 0.728 0.750
La 0.728 0.000 0.250
Pb 0.000 0.000 0.500
La 0.333 0.667 0.500
La 0.000 0.728 0.250


Li2AgAs2 | PBE | optimized geometry

Results
Density = 4.76 g/cm3
E_form = -0.3452 eV/atom
Energy above the lowest structure with this stoichiometry = 3.6 kJ/mol of atoms
Crystal system = monoclinic
DFT total energy = -3.54 eV per atom

Unit cell a=4.197 b=5.780 c=8.670 alpha=80.74 beta=75.99 gamma=68.71
Element x y z (fractional)
Li 0.503 0.682 0.312
Li 0.327 0.264 0.083
As 0.125 0.344 0.406
Ag 0.783 0.063 0.371
As 0.970 0.170 0.891
Li 0.673 0.736 0.917
As 0.875 0.656 0.594
As 0.030 0.830 0.109
Li 0.497 0.318 0.688
Ag 0.217 0.937 0.629


RbLi2Sn2 | PBE | optimized geometry

Results
Density = 4.24 g/cm3
E_form = -0.2127 eV/atom
Energy above the lowest structure with this stoichiometry = 0.0 kJ/mol of atoms
Crystal system = tetragonal
DFT total energy = -2.77 eV per atom

Unit cell a=9.031 b=9.031 c=3.232 alpha=90.00 beta=90.00 gamma=90.00
Element x y z (fractional)
Li 0.842 0.658 0.000
Li 0.158 0.342 0.000
Sn 0.122 0.622 0.500
Rb 0.500 0.500 0.000
Sn 0.878 0.378 0.500
Rb 0.000 0.000 0.000
Sn 0.622 0.878 0.500
Li 0.658 0.158 0.000
Li 0.342 0.842 0.000
Sn 0.378 0.122 0.500


Tb6PrHo3 | PBE | optimized geometry

Results
Density = 8.05 g/cm3
E_form = 0.2680 eV/atom
Energy above the lowest structure with this stoichiometry = 11.2 kJ/mol of atoms
Crystal system = trigonal
DFT total energy = -4.36 eV per atom

Unit cell a=9.829 b=9.829 c=6.897 alpha=44.56 beta=44.56 gamma=60.00
Element x y z (fractional)
Tb 0.232 0.900 0.299
Ho 0.153 0.153 0.540
Ho 0.400 0.400 0.801
Tb 0.071 0.401 0.799
Tb 0.729 0.071 0.799
Pr 0.900 0.900 0.300
Tb 0.568 0.232 0.299
Tb 0.401 0.729 0.799
Ho 0.646 0.646 0.063
Tb 0.900 0.568 0.299


Na2ErSnTe4 | PBE | optimized geometry

Results
Density = 5.48 g/cm3
Crystal system = monoclinic
DFT total energy = -3.86 eV per atom

Unit cell a=4.364 b=7.712 c=7.997 alpha=108.48 beta=90.00 gamma=90.00
Element x y z (fractional)
Na 0.000 0.500 0.500
Te 0.500 0.247 0.230
Te 0.000 0.742 0.229
Te 0.500 0.753 0.770
Te 0.000 0.258 0.771
Sn 0.000 0.000 0.000
Er 0.500 0.500 0.000
Na 0.500 0.000 0.500